Here is a relaxed structure of Ni2ClO from the Alexandria database. Energies are from PBE+U.

Total magnetic moment = 3.00 μB per cell
Energy = -2.34 eV/atom
Relative energy among the computed polymorphs = 4.23 eV/f.u.

Cell and atoms, written as extended XYZ:
```
4
Lattice="0.000 2.835 2.835 2.835 0.000 2.835 2.835 2.835 0.000" Properties=species:S:1:pos:R:3 pbc="T T T"
Ni 1.417 1.417 1.417
Ni 4.252 4.252 4.252
Cl 0.000 0.000 0.000
O 2.835 2.835 2.835
```